Record 1
# Mg2Al2Ga2Ag (PBE, optimized geometry)
# Volume, Å³/f.u.: 137.7
# Mass density, Mg/m³: 4.219
# Energy relative to the elements, meV per atom: -31.6
data_Mg2Al2Ga2Ag
_chemical_formula_sum 'Mg4 Al4 Ga4 Ag2'
_cell_length_a 11.138
_cell_length_b 4.182
_cell_length_c 6.370
_cell_angle_alpha 90.00
_cell_angle_beta 111.84
_cell_angle_gamma 90.00
_symmetry_space_group_name_H-M 'C 1 2/m 1'
_symmetry_Int_Tables_number 12
loop_
_symmetry_equiv_pos_as_xyz
'x,y,z'
'-x,-y,-z'
'-x,y,-z'
'x,-y,z'
'x+1/2,y+1/2,z'
'-x+1/2,-y+1/2,-z'
'-x+1/2,y+1/2,-z'
'x+1/2,-y+1/2,z'
loop_
_atom_site_label
_atom_site_type_symbol
_atom_site_fract_x
_atom_site_fract_y
_atom_site_fract_z
_atom_site_occupancy
Mg1 Mg 0.109 0.000 0.335 1
Al1 Al 0.248 0.000 0.847 1
Ga1 Ga 0.108 0.500 0.674 1
Ag1 Ag 0.000 0.500 0.000 1

Record 2
# AlGaAgMo2 (PBE, optimized geometry)
# Volume, Å³/f.u.: 100.2
# Mass density, Mg/m³: 6.568
# Energy relative to the elements, meV per atom: 1254.5
data_AlGaAgMo2
_chemical_formula_sum 'Al1 Ga1 Ag1 Mo2'
_cell_length_a 4.664
_cell_length_b 4.664
_cell_length_c 4.608
_cell_angle_alpha 90.00
_cell_angle_beta 90.00
_cell_angle_gamma 90.00
_symmetry_space_group_name_H-M 'P 4/m m m'
_symmetry_Int_Tables_number 123
_symmetry_space_group_name_Hall '-P 4 2'
loop_
_atom_site_label
_atom_site_type_symbol
_atom_site_fract_x
_atom_site_fract_y
_atom_site_fract_z
_atom_site_occupancy
Al1 Al 0.000 0.000 0.000 1
Ga1 Ga 0.500 0.500 0.500 1
Ag1 Ag 0.500 0.500 0.000 1
Mo1 Mo 0.000 0.500 0.500 1

Record 3
# Na2Al4Ga3Ag (PBE, optimized geometry)
# Volume, Å³/f.u.: 204.9
# Mass density, Mg/m³: 3.817
# Energy relative to the elements, meV per atom: -44.0
data_Na2Al4Ga3Ag
_chemical_formula_sum 'Na2 Al4 Ga3 Ag1'
_cell_length_a 4.211
_cell_length_b 4.211
_cell_length_c 11.553
_cell_angle_alpha 90.00
_cell_angle_beta 90.00
_cell_angle_gamma 90.00
_symmetry_space_group_name_H-M 'P -4 m 2'
_symmetry_Int_Tables_number 115
loop_
_symmetry_equiv_pos_as_xyz
'x,y,z'
'y,-x,-z'
'-x,-y,z'
'-y,x,-z'
'-x,y,z'
'-y,-x,-z'
'x,-y,z'
'y,x,-z'
loop_
_atom_site_label
_atom_site_type_symbol
_atom_site_fract_x
_atom_site_fract_y
_atom_site_fract_z
_atom_site_occupancy
Na1 Na 0.000 0.500 0.246 1
Al1 Al 0.000 0.000 0.500 1
Al2 Al 0.000 0.500 0.862 1
Al3 Al 0.500 0.500 0.500 1
Ga1 Ga 0.000 0.000 0.000 1
Ga2 Ga 0.000 0.500 0.642 1
Ag1 Ag 0.500 0.500 0.000 1

Record 4
# Na2Al2GaAg5 (PBE, optimized geometry)
# Volume, Å³/f.u.: 198.5
# Mass density, Mg/m³: 5.932
# Energy relative to the elements, meV per atom: -67.2
data_Na2Al2GaAg5
_chemical_formula_sum 'Na4 Al4 Ga2 Ag10'
_cell_length_a 11.657
_cell_length_b 11.657
_cell_length_c 2.921
_cell_angle_alpha 90.00
_cell_angle_beta 90.00
_cell_angle_gamma 90.00
_symmetry_space_group_name_H-M 'P 4/m b m'
_symmetry_Int_Tables_number 127
_symmetry_space_group_name_Hall '-P 4 2ab'
loop_
_atom_site_label
_atom_site_type_symbol
_atom_site_fract_x
_atom_site_fract_y
_atom_site_fract_z
_atom_site_occupancy
Na1 Na 0.171 0.329 0.000 1
Al1 Al 0.135 0.635 0.000 1
Ga1 Ga 0.000 0.000 0.000 1
Ag1 Ag 0.000 0.500 0.500 1
Ag2 Ag 0.065 0.813 0.500 1

Record 5
# NdAl2GaAg (PBE, optimized geometry)
# Volume, Å³/f.u.: 101.5
# Mass density, Mg/m³: 6.145
# Energy relative to the elements, meV per atom: -449.1
data_NdAl2GaAg
_chemical_formula_sum 'Nd2 Al4 Ga2 Ag2'
_cell_length_a 4.229
_cell_length_b 4.282
_cell_length_c 11.214
_cell_angle_alpha 90.00
_cell_angle_beta 90.00
_cell_angle_gamma 90.00
_symmetry_space_group_name_H-M 'I m m 2'
_symmetry_Int_Tables_number 44
loop_
_symmetry_equiv_pos_as_xyz
'x,y,z'
'-x,-y,z'
'-x,y,z'
'x,-y,z'
'x+1/2,y+1/2,z+1/2'
'-x+1/2,-y+1/2,z+1/2'
'-x+1/2,y+1/2,z+1/2'
'x+1/2,-y+1/2,z+1/2'
loop_
_atom_site_label
_atom_site_type_symbol
_atom_site_fract_x
_atom_site_fract_y
_atom_site_fract_z
_atom_site_occupancy
Nd1 Nd 0.000 0.000 0.000 1
Al1 Al 0.000 0.000 0.386 1
Al2 Al 0.000 0.500 0.246 1
Ga1 Ga 0.000 0.000 0.607 1
Ag1 Ag 0.000 0.500 0.750 1

Record 6
# NdAlGaAg2 (PBE, optimized geometry)
# Volume, Å³/f.u.: 105.1
# Mass density, Mg/m³: 7.213
# Energy relative to the elements, meV per atom: -332.4
data_NdAlGaAg2
_chemical_formula_sum 'Nd2 Al2 Ga2 Ag4'
_cell_length_a 4.075
_cell_length_b 4.351
_cell_length_c 11.859
_cell_angle_alpha 90.00
_cell_angle_beta 90.00
_cell_angle_gamma 90.00
_symmetry_space_group_name_H-M 'I m m 2'
_symmetry_Int_Tables_number 44
loop_
_symmetry_equiv_pos_as_xyz
'x,y,z'
'-x,-y,z'
'-x,y,z'
'x,-y,z'
'x+1/2,y+1/2,z+1/2'
'-x+1/2,-y+1/2,z+1/2'
'-x+1/2,y+1/2,z+1/2'
'x+1/2,-y+1/2,z+1/2'
loop_
_atom_site_label
_atom_site_type_symbol
_atom_site_fract_x
_atom_site_fract_y
_atom_site_fract_z
_atom_site_occupancy
Nd1 Nd 0.000 0.000 0.000 1
Al1 Al 0.000 0.500 0.752 1
Ga1 Ga 0.000 0.000 0.399 1
Ag1 Ag 0.000 0.000 0.615 1
Ag2 Ag 0.000 0.500 0.274 1

Record 7
# Nd2Al3Ga4Ag (PBE, optimized geometry)
# Volume, Å³/f.u.: 202.9
# Mass density, Mg/m³: 6.190
# Energy relative to the elements, meV per atom: -423.3
data_Nd2Al3Ga4Ag
_chemical_formula_sum 'Nd2 Al3 Ga4 Ag1'
_cell_length_a 4.334
_cell_length_b 4.334
_cell_length_c 10.799
_cell_angle_alpha 90.00
_cell_angle_beta 90.00
_cell_angle_gamma 90.00
_symmetry_space_group_name_H-M 'P -4 m 2'
_symmetry_Int_Tables_number 115
loop_
_symmetry_equiv_pos_as_xyz
'x,y,z'
'y,-x,-z'
'-x,-y,z'
'-y,x,-z'
'-x,y,z'
'-y,-x,-z'
'x,-y,z'
'y,x,-z'
loop_
_atom_site_label
_atom_site_type_symbol
_atom_site_fract_x
_atom_site_fract_y
_atom_site_fract_z
_atom_site_occupancy
Nd1 Nd 0.000 0.500 0.245 1
Al1 Al 0.000 0.500 0.868 1
Al2 Al 0.500 0.500 0.500 1
Ga1 Ga 0.000 0.000 0.000 1
Ga2 Ga 0.000 0.500 0.640 1
Ga3 Ga 0.500 0.500 0.000 1
Ag1 Ag 0.000 0.000 0.500 1

Record 8
# Nd2AlGa6Ag (PBE, optimized geometry)
# Volume, Å³/f.u.: 219.2
# Mass density, Mg/m³: 6.376
# Energy relative to the elements, meV per atom: -222.4
data_Nd2AlGa6Ag
_chemical_formula_sum 'Nd12 Al6 Ga36 Ag6'
_cell_length_a 6.4623
_cell_length_b 6.4623
_cell_length_c 36.3671
_cell_angle_alpha 90.00
_cell_angle_beta 90.00
_cell_angle_gamma 120.00
_symmetry_space_group_name_H-M 'R -3 m'
_symmetry_Int_Tables_number 166
_symmetry_space_group_name_Hall '-R 3 2"'
loop_
_atom_site_label
_atom_site_type_symbol
_atom_site_fract_x
_atom_site_fract_y
_atom_site_fract_z
_atom_site_occupancy
Nd1 Nd 0.0000 0.0000 0.1099 1
Nd2 Nd 0.0000 0.0000 0.2943 1
Al1 Al 0.0000 0.0000 0.0000 1
Al2 Al 0.0000 0.0000 0.5000 1
Ga1 Ga 0.0467 0.5233 0.2940 1
Ga2 Ga 0.0760 0.5380 0.8699 1
Ag1 Ag 0.0000 0.0000 0.4301 1